No. 1
The following is a DFT calculation (PBE-GGA) of crystalline TlZnMo at its relaxed geometry.

Values from the calculation:
- density of states at the Fermi level (states/eV per atom) = 0.82
- calculated total energy (eV per atom) = -4.253
- ΔE to the lowest computed polymorph (meV/atom) = 11.9

Cell lengths 7.3243, 7.3090, 2.8737 Å; angles 78.97, 78.38, 22.65 degrees
Element x y z (fractional)
Tl 0.0000 0.0000 0.0000
Zn 0.3072 0.3072 0.6928
Mo 0.6755 0.6755 0.3245

---

No. 2
The following is a DFT calculation (PBE-GGA) of crystalline CuReP2 at its relaxed geometry.

Values from the calculation:
- density of states at the Fermi level (states/eV per atom) = 0.53
- calculated total energy (eV per atom) = -6.740
- ΔE to the lowest computed polymorph (meV/atom) = 156.6

Cell lengths 4.1403, 4.1403, 4.7908 Å; angles 95.22, 95.22, 43.29 degrees
Element x y z (fractional)
Cu 0.0000 0.0000 0.0000
Re 0.5000 0.5000 0.5000
P 0.2228 0.2228 0.7186
P 0.7772 0.7772 0.2814